# 1
First-principles (PBE) data for crystalline MnFeBP at its relaxed geometry, as listed in the Alexandria database.

Unit cell a=4.043 b=4.043 c=4.124 alpha=102.32 beta=102.32 gamma=40.27
Element x y z (fractional)
Mn1 0.000 0.000 0.000
Fe1 0.637 0.637 0.561
B1 0.936 0.936 0.486
P1 0.728 0.728 0.100

Properties
Energy of formation from the pure elements, eV/atom: -0.17
DFT total energy, eV/atom: -7.60
E above lowest polymorph, eV/atom: 0.137
Magnetization, μB/cell: 0.29
Symmetry: No. 8

# 2
First-principles (PBE) data for crystalline Na3YU2Se6 at its relaxed geometry, as listed in the Alexandria database.

Unit cell a=7.175 b=7.175 c=7.456 alpha=99.23 beta=99.23 gamma=120.00
Element x y z (fractional)
Na1 0.000 0.000 0.000
Na2 0.334 0.666 0.000
Na3 0.666 0.334 0.000
Y1 0.500 0.500 0.500
U1 0.167 0.833 0.500
U2 0.833 0.167 0.500
Se1 0.090 0.422 0.267
Se2 0.245 0.245 0.733
Se3 0.422 0.090 0.267
Se4 0.578 0.910 0.733
Se5 0.755 0.755 0.267
Se6 0.910 0.578 0.733

Properties
DFT total energy, eV/atom: -5.84
Magnetization, μB/cell: 6.01
Symmetry: No. 12
Formation energy from raw total energies, eV per formula unit: -16.1

# 3
First-principles (PBE) data for crystalline ZnTc3N at its relaxed geometry, as listed in the Alexandria database.

Unit cell a=5.365 b=5.365 c=4.675 alpha=99.87 beta=99.87 gamma=88.26
Element x y z (fractional)
Zn1 0.076 0.924 0.500
Zn2 0.924 0.076 0.000
Tc1 0.155 0.416 0.446
Tc2 0.221 0.637 0.005
Tc3 0.416 0.155 0.946
Tc4 0.565 0.720 0.577
Tc5 0.637 0.221 0.505
Tc6 0.720 0.565 0.077
N1 0.508 0.876 0.194
N2 0.876 0.508 0.694

Properties
DFT total energy, eV/atom: -8.06
E above lowest polymorph, eV/atom: 0.058
Magnetization, μB/cell: 0.00
Symmetry: No. 9
Formation energy from raw total energies, eV per formula unit: 0.4

# 4
First-principles (PBE) data for crystalline SiCSN2 at its relaxed geometry, as listed in the Alexandria database.

Unit cell a=3.294 b=3.294 c=6.975 alpha=90.00 beta=90.00 gamma=90.00
Element x y z (fractional)
Si1 0.000 0.000 0.000
C1 0.500 0.500 0.500
S1 0.000 0.000 0.500
N1 0.000 0.500 0.000
N2 0.500 0.000 0.000

Properties
DFT total energy, eV/atom: -5.56
E above lowest polymorph, eV/atom: 0.000
Magnetization, μB/cell: 0.58
Symmetry: No. 123
Formation energy from raw total energies, eV per formula unit: 7.6

The highest magnetization belongs to which entry? Na3YU2Se6

Number 4 is which compound? SiCSN2

Please write out number 3 again, unchanged.
First-principles (PBE) data for crystalline ZnTc3N at its relaxed geometry, as listed in the Alexandria database.

Unit cell a=5.365 b=5.365 c=4.675 alpha=99.87 beta=99.87 gamma=88.26
Element x y z (fractional)
Zn1 0.076 0.924 0.500
Zn2 0.924 0.076 0.000
Tc1 0.155 0.416 0.446
Tc2 0.221 0.637 0.005
Tc3 0.416 0.155 0.946
Tc4 0.565 0.720 0.577
Tc5 0.637 0.221 0.505
Tc6 0.720 0.565 0.077
N1 0.508 0.876 0.194
N2 0.876 0.508 0.694

Properties
DFT total energy, eV/atom: -8.06
E above lowest polymorph, eV/atom: 0.058
Magnetization, μB/cell: 0.00
Symmetry: No. 9
Formation energy from raw total energies, eV per formula unit: 0.4

Which value of DFT total energy does entry 1 give? -7.60 eV/atom